i | DFT (PBE) results for a geometry-optimized Li2HfSe3 structure.

abc: 7.669 3.828 9.055
angles: 90.00 101.02 90.00
Element x y z (fractional)
Li  0.369  0.750  0.870
Li  0.926  0.250  0.904
Li  0.631  0.250  0.130
Li  0.074  0.750  0.096
Hf  0.680  0.750  0.652
Hf  0.320  0.250  0.348
Se  0.736  0.750  0.958
Se  0.095  0.750  0.367
Se  0.420  0.250  0.654
Se  0.905  0.250  0.633
Se  0.580  0.750  0.346
Se  0.264  0.250  0.042

Calculated values
crystal system: monoclinic
volume: 260.9 Å³/cell
space-group type: P2_1/m, No. 11

---

ii | DFT (PBE) results for a geometry-optimized Li2HfSe3 structure.

abc: 12.851 3.826 10.706
angles: 90.00 90.00 90.00
Element x y z (fractional)
Li  0.986  0.250  0.415
Li  0.239  0.250  0.443
Li  0.014  0.750  0.585
Li  0.761  0.750  0.557
Li  0.739  0.250  0.057
Li  0.261  0.750  0.943
Li  0.486  0.250  0.085
Li  0.514  0.750  0.915
Hf  0.997  0.750  0.165
Hf  0.503  0.250  0.665
Hf  0.003  0.250  0.835
Hf  0.497  0.750  0.335
Se  0.368  0.250  0.261
Se  0.618  0.250  0.443
Se  0.882  0.750  0.943
Se  0.632  0.750  0.739
Se  0.606  0.750  0.127
Se  0.868  0.250  0.239
Se  0.118  0.250  0.057
Se  0.106  0.750  0.373
Se  0.894  0.250  0.627
Se  0.394  0.250  0.873
Se  0.382  0.750  0.557
Se  0.132  0.750  0.761

Calculated values
crystal system: orthorhombic
volume: 526.4 Å³/cell
space-group type: Pnma, No. 62

---

Most stable: ii

---

i | DFT (PBE) results for a geometry-optimized LiHfTlSe3 structure.

abc: 14.651 3.931 10.713
angles: 90.00 90.00 90.00
Element x y z (fractional)
Hf  0.985  0.750  0.836
Hf  0.015  0.250  0.164
Hf  0.515  0.250  0.336
Hf  0.485  0.750  0.664
Se  0.594  0.250  0.568
Se  0.094  0.250  0.932
Se  0.083  0.750  0.633
Se  0.417  0.250  0.133
Se  0.406  0.750  0.432
Se  0.906  0.750  0.068
Se  0.131  0.750  0.232
Se  0.631  0.750  0.268
Se  0.869  0.250  0.768
Se  0.583  0.750  0.867
Se  0.917  0.250  0.367
Se  0.369  0.250  0.732
Tl  0.774  0.750  0.514
Tl  0.274  0.750  0.986
Tl  0.226  0.250  0.486
Tl  0.726  0.250  0.014
Li  0.481  0.250  0.909
Li  0.981  0.250  0.591
Li  0.519  0.750  0.091
Li  0.019  0.750  0.409

Calculated values
crystal system: orthorhombic
volume: 617.0 Å³/cell
space-group type: Pnma, No. 62

---

ii | DFT (PBE) results for a geometry-optimized LiHfTlSe3 structure.

abc: 7.495 7.495 10.456
angles: 90.00 90.00 149.87
Element x y z (fractional)
Se  0.374  0.626  0.040
Se  0.055  0.945  0.250
Se  0.374  0.626  0.460
Se  0.626  0.374  0.960
Se  0.626  0.374  0.540
Se  0.945  0.055  0.750
Hf  0.000  0.000  0.500
Hf  0.000  0.000  0.000
Tl  0.268  0.732  0.750
Tl  0.732  0.268  0.250
Li  0.550  0.450  0.750
Li  0.450  0.550  0.250

Calculated values
crystal system: orthorhombic
volume: 294.8 Å³/cell
space-group type: Cmcm, No. 63

---

Most stable: i

---

i | DFT (PBE) results for a geometry-optimized LiSmHf structure.

abc: 4.857 4.857 4.857
angles: 60.00 60.00 60.00
Element x y z (fractional)
Li  0.250  0.250  0.250
Sm  0.750  0.750  0.750
Hf  0.000  0.000  0.000

Calculated values
crystal system: cubic
volume: 81.0 Å³/cell
space-group type: F-43m, No. 216

---

ii | DFT (PBE) results for a geometry-optimized LiSmHf structure.

abc: 4.871 4.871 4.871
angles: 60.00 60.00 60.00
Element x y z (fractional)
Li  0.750  0.750  0.750
Sm  0.000  0.000  0.000
Hf  0.250  0.250  0.250

Calculated values
crystal system: cubic
volume: 81.7 Å³/cell
space-group type: F-43m, No. 216

---

Most stable: i

---

i | DFT (PBE) results for a geometry-optimized LuHfNO structure.

abc: 3.490 5.780 6.096
angles: 90.00 90.00 90.00
Element x y z (fractional)
N  0.000  0.427  0.677
N  0.000  0.927  0.323
Lu  0.000  0.519  0.326
Lu  0.000  0.019  0.674
Hf  0.500  0.971  0.132
Hf  0.500  0.471  0.868
O  0.500  0.836  0.789
O  0.500  0.336  0.211

Calculated values
crystal system: orthorhombic
volume: 123.0 Å³/cell
space-group type: Pmc2_1, No. 26

---

ii | DFT (PBE) results for a geometry-optimized LuHfNO structure.

abc: 3.795 4.578 6.547
angles: 90.00 90.00 90.00
Element x y z (fractional)
O  0.500  0.439  0.193
O  0.500  0.939  0.807
Lu  0.500  0.939  0.159
Lu  0.500  0.439  0.841
N  0.000  0.438  0.648
N  0.000  0.938  0.352
Hf  0.000  0.439  0.330
Hf  0.000  0.939  0.670

Calculated values
crystal system: orthorhombic
volume: 113.7 Å³/cell
space-group type: Pmma, No. 51

---

iii | DFT (PBE) results for a geometry-optimized LuHfNO structure.

abc: 3.865 3.865 7.287
angles: 90.00 90.00 90.00
Element x y z (fractional)
O  0.750  0.250  0.000
O  0.250  0.750  0.000
Hf  0.750  0.750  0.869
Hf  0.250  0.250  0.131
N  0.750  0.750  0.318
N  0.250  0.250  0.682
Lu  0.750  0.250  0.500
Lu  0.250  0.750  0.500

Calculated values
crystal system: tetragonal
volume: 108.9 Å³/cell
space-group type: P4/nmm, No. 129

---

Most stable: ii

---

i | DFT (PBE) results for a geometry-optimized LuHfNO structure.

abc: 4.098 4.098 7.945
angles: 90.00 90.00 90.00
Element x y z (fractional)
Hf  0.250  0.750  0.500
Hf  0.750  0.250  0.500
Lu  0.250  0.250  0.111
Lu  0.750  0.750  0.889
N  0.250  0.250  0.570
N  0.750  0.750  0.430
O  0.750  0.250  0.000
O  0.250  0.750  0.000

Calculated values
crystal system: tetragonal
volume: 133.4 Å³/cell
space-group type: P4/nmm, No. 129

---

ii | DFT (PBE) results for a geometry-optimized LuHfNO structure.

abc: 6.186 7.889 4.660
angles: 90.00 90.00 90.00
Element x y z (fractional)
N  0.055  0.131  0.550
N  0.945  0.869  0.050
N  0.555  0.869  0.550
N  0.445  0.131  0.050
O  0.889  0.361  0.051
O  0.611  0.361  0.551
O  0.111  0.639  0.551
O  0.389  0.639  0.051
Lu  0.580  0.867  0.050
Lu  0.080  0.133  0.050
Lu  0.420  0.133  0.550
Lu  0.920  0.867  0.550
Hf  0.550  0.390  0.051
Hf  0.050  0.610  0.051
Hf  0.950  0.390  0.551
Hf  0.450  0.610  0.551

Calculated values
crystal system: orthorhombic
volume: 227.4 Å³/cell
space-group type: Pbcm, No. 57

---

Most stable: ii

---

i | DFT (PBE) results for a geometry-optimized NaLuHfPd structure.

abc: 4.916 4.916 4.916
angles: 60.00 60.00 60.00
Element x y z (fractional)
Lu  0.500  0.500  0.500
Pd  0.000  0.000  0.000
Hf  0.250  0.250  0.250
Na  0.750  0.750  0.750

Calculated values
crystal system: cubic
volume: 84.0 Å³/cell
space-group type: F-43m, No. 216

---

ii | DFT (PBE) results for a geometry-optimized NaLuHfPd structure.

abc: 4.917 4.917 4.917
angles: 60.00 60.00 60.00
Element x y z (fractional)
Na  0.750  0.750  0.750
Pd  0.250  0.250  0.250
Hf  0.000  0.000  0.000
Lu  0.500  0.500  0.500

Calculated values
crystal system: cubic
volume: 84.0 Å³/cell
space-group type: F-43m, No. 216

---

Most stable: ii